## Ce2Nd3PuTe6 (PBE)

Data for an optimized crystal structure of Ce2Nd3PuTe6.

POSCAR file:
```
Ce2Nd3PuTe6
1.0
-0.605 3.732 2.372
-2.328 -4.939 7.179
10.011 -0.863 -0.289
Ce Nd Pu Te
2 3 1 6
Cartesian
4.621 -0.755 6.566
2.458 -1.315 2.696
-1.466 -0.604 4.775
5.780 1.715 2.975
1.299 -3.785 6.287
-0.302 1.866 1.186
4.369 -3.856 7.182
1.575 -0.683 5.676
2.709 1.786 2.080
-0.572 -1.214 1.764
7.650 -0.856 7.497
5.504 -1.387 3.586
```

Its density of states at the Fermi level is 25.6 states/eV/f.u. The value obtained for the total energy is -6.309 eV per atom. The space-group type is C2/m, No. 12.